# 1
Compound: TaFe2Si
Source: the Alexandria database
Functional: PBE
Structure: relaxed

Cell: 3.9543 3.9543 3.2010 Å, 90.00 90.00 90.00°
Last column: nearest neighbours and their distance in Å.
Fractional coordinates of all 4 atoms:
Fe: 0.0000 0.0000 0.0000  4 Ta 2.54, 4 Si 2.54, 4 Fe 2.80
Fe: 0.5000 0.5000 0.0000  4 Ta 2.54, 4 Si 2.54, 4 Fe 2.80
Si: 0.5000 0.0000 0.5000  8 Fe 2.54, 4 Ta 2.80
Ta: 0.0000 0.5000 0.5000  8 Fe 2.54, 4 Si 2.80

M_tot, μB per atom: 0.00
Total energy, eV/atom: -8.88
Density of states at the Fermi level, states/eV/f.u.: 2.21
Raw formation energy, eV per formula unit: -1.32


# 2
Compound: Ta2FeSi
Source: the Alexandria database
Functional: PBE
Structure: relaxed

Cell: 6.8184 6.8184 5.5574 Å, 52.16 52.16 90.00°
Last column: nearest neighbours and their distance in Å.
Fractional coordinates of all 8 atoms:
Si: 0.5000 0.5000 0.0000  4 Ta 2.60, 2 Fe 2.76
Si: 0.2500 0.7500 0.5000  4 Ta 2.60, 2 Fe 2.76
Fe: 0.0000 0.0000 0.0000  4 Ta 2.42
Fe: 0.7500 0.2500 0.5000  4 Ta 2.42
Ta: 0.6450 0.1250 0.2500  2 Fe 2.42, 2 Si 2.60
Ta: 0.1050 0.6250 0.2500  2 Fe 2.42, 2 Si 2.60
Ta: 0.3750 0.3550 0.7500  2 Fe 2.42, 2 Si 2.60
Ta: 0.8750 0.8950 0.7500  2 Fe 2.42, 2 Si 2.60

M_tot, μB per atom: 0.00
Total energy, eV/atom: -9.11
Density of states at the Fermi level, states/eV/f.u.: 4.11
Raw formation energy, eV per formula unit: 1.14


# 3
Compound: Ta4Fe7Si6
Source: the Alexandria database
Functional: PBE
Structure: relaxed

Cell: 6.5559 6.5559 6.5559 Å, 109.47 109.47 109.47°
Last column: nearest neighbours and their distance in Å.
Fractional coordinates of all 17 atoms:
Ta: 0.5000 0.0000 0.0000  6 Fe 2.68, 6 Si 2.72
Ta: 0.5000 0.5000 0.5000  6 Fe 2.68, 6 Si 2.72
Ta: 0.0000 0.5000 0.0000  6 Fe 2.68, 6 Si 2.72
Ta: 0.0000 0.0000 0.5000  6 Fe 2.68, 6 Si 2.72
Fe: 0.7500 0.5000 0.2500  4 Si 2.35
Fe: 0.2500 0.7500 0.5000  4 Si 2.35
Fe: 0.5000 0.7500 0.2500  4 Si 2.35
Fe: 0.7500 0.2500 0.5000  4 Si 2.35
Fe: 0.2500 0.5000 0.7500  4 Si 2.35
Fe: 0.5000 0.2500 0.7500  4 Si 2.35
Fe: 0.0000 0.0000 0.0000  6 Si 2.39
Si: 0.6842 0.0000 0.6842  5 Fe 2.35-2.39
Si: 0.6842 0.6842 0.0000  5 Fe 2.35-2.39
Si: 0.0000 0.3158 0.3158  5 Fe 2.35-2.39
Si: 0.3158 0.0000 0.3158  5 Fe 2.35-2.39
Si: 0.3158 0.3158 0.0000  5 Fe 2.35-2.39
Si: 0.0000 0.6842 0.6842  5 Fe 2.35-2.39

M_tot, μB per atom: 0.13
Total energy, eV/atom: -8.69
Density of states at the Fermi level, states/eV/f.u.: 8.99
Raw formation energy, eV per formula unit: -8.63


# 4
Compound: Ta2FeSi
Source: the Alexandria database
Functional: PBE
Structure: relaxed

Cell: 2.8396 2.8396 7.2678 Å, 90.00 90.00 90.00°
Last column: nearest neighbours and their distance in Å.
Fractional coordinates of all 4 atoms:
Fe: 0.0000 0.0000 0.5397  4 Si 2.33
Si: 0.5000 0.5000 0.7036  4 Fe 2.33
Ta: 0.0000 0.0000 0.9626  4 Si 2.75, 4 Ta 2.84, 1 Fe 3.07
Ta: 0.5000 0.5000 0.2941  4 Fe 2.69, 4 Ta 2.84, 1 Si 2.98

M_tot, μB per atom: 0.00
Total energy, eV/atom: -9.66
Density of states at the Fermi level, states/eV/f.u.: 2.48
Raw formation energy, eV per formula unit: -1.04


# 5
Compound: TaFeSi2
Source: the Alexandria database
Functional: PBE
Structure: relaxed

Cell: 4.7369 4.7369 4.7369 Å, 133.06 133.06 68.55°
Last column: nearest neighbours and their distance in Å.
Fractional coordinates of all 4 atoms:
Fe: 0.7500 0.2500 0.5000  4 Ta 2.67, 8 Si 2.72
Si: 0.0000 0.0000 0.0000  4 Si 2.67, 4 Ta 2.72, 4 Fe 2.72
Si: 0.5000 0.5000 0.0000  4 Si 2.67, 4 Ta 2.72, 4 Fe 2.72
Ta: 0.2500 0.7500 0.5000  4 Fe 2.67, 8 Si 2.72

M_tot, μB per atom: 0.69
Total energy, eV/atom: -7.87
Density of states at the Fermi level, states/eV/f.u.: 2.57
Raw formation energy, eV per formula unit: -0.32


# 6
Compound: Ta2FeSi
Source: the Alexandria database
Functional: PBE
Structure: relaxed

Cell: 3.7771 4.0060 4.0060 Å, 90.00 90.00 90.00°
Last column: nearest neighbours and their distance in Å.
Fractional coordinates of all 4 atoms:
Fe: 0.5000 0.5000 0.0000  8 Ta 2.75, 4 Si 2.83
Si: 0.5000 0.0000 0.5000  8 Ta 2.75, 4 Fe 2.83
Ta: 0.0000 0.0000 0.0000  4 Fe 2.75, 4 Si 2.75, 4 Ta 2.83
Ta: 0.0000 0.5000 0.5000  4 Fe 2.75, 4 Si 2.75, 4 Ta 2.83

M_tot, μB per atom: 0.45
Total energy, eV/atom: -9.60
Density of states at the Fermi level, states/eV/f.u.: 2.61
Raw formation energy, eV per formula unit: -0.82


# 7
Compound: TaFeSi3
Source: the Alexandria database
Functional: PBE
Structure: relaxed

Cell: 4.8283 4.8283 4.8283 Å, 90.00 90.00 90.00°
Last column: nearest neighbours and their distance in Å.
Fractional coordinates of all 5 atoms:
Si: 0.0000 0.5000 0.0000  2 Ta 2.41
Si: 0.0000 0.0000 0.5000  2 Ta 2.41
Si: 0.5000 0.0000 0.0000  2 Ta 2.41
Fe: 0.5000 0.5000 0.5000  12 Si 3.41
Ta: 0.0000 0.0000 0.0000  6 Si 2.41

M_tot, μB per atom: 0.65
Total energy, eV/atom: -6.18
Density of states at the Fermi level, states/eV/f.u.: 5.21
Raw formation energy, eV per formula unit: 5.67


# 8
Compound: TaFeSi3
Source: the Alexandria database
Functional: PBE
Structure: relaxed

Cell: 4.3020 4.3020 4.3020 Å, 90.00 90.00 90.00°
Last column: nearest neighbours and their distance in Å.
Fractional coordinates of all 5 atoms:
Si: 0.0000 0.5000 0.0000  2 Fe 2.15
Si: 0.0000 0.0000 0.5000  2 Fe 2.15
Si: 0.5000 0.0000 0.0000  2 Fe 2.15
Fe: 0.0000 0.0000 0.0000  6 Si 2.15
Ta: 0.5000 0.5000 0.5000  12 Si 3.04

M_tot, μB per atom: 0.30
Total energy, eV/atom: -6.60
Density of states at the Fermi level, states/eV/f.u.: 5.91
Raw formation energy, eV per formula unit: 3.59


# 9
Compound: TaFe2Si
Source: the Alexandria database
Functional: PBE
Structure: relaxed

Cell: 4.2115 4.2115 4.2115 Å, 60.00 60.00 60.00°
Last column: nearest neighbours and their distance in Å.
Fractional coordinates of all 4 atoms:
Fe: 0.0000 0.0000 0.0000  4 Ta 2.58, 4 Fe 2.58
Fe: 0.2500 0.2500 0.2500  4 Si 2.58, 4 Fe 2.58
Si: 0.5000 0.5000 0.5000  4 Fe 2.58, 4 Ta 2.58
Ta: 0.7500 0.7500 0.7500  4 Fe 2.58, 4 Si 2.58

M_tot, μB per atom: 0.89
Total energy, eV/atom: -8.68
Density of states at the Fermi level, states/eV/f.u.: 3.31
Raw formation energy, eV per formula unit: -0.53


# 10
Compound: TaFeSi2
Source: the Alexandria database
Functional: PBE
Structure: relaxed

Cell: 4.5568 4.5568 4.5027 Å, 74.31 74.31 37.35°
Last column: nearest neighbours and their distance in Å.
Fractional coordinates of all 4 atoms:
Fe: 0.2603 0.2603 0.1774  5 Si 2.39-2.60
Si: 0.9901 0.9901 0.0295  3 Fe 2.40-2.60, 2 Si 2.62, 2 Ta 2.67
Si: 0.7447 0.7447 0.7674  2 Fe 2.39, 3 Ta 2.60-2.64, 2 Si 2.62
Ta: 0.5049 0.5049 0.5257  7 Si 2.60-2.70, 2 Fe 2.73

M_tot, μB per atom: 0.00
Total energy, eV/atom: -8.01
Density of states at the Fermi level, states/eV/f.u.: 1.71
Raw formation energy, eV per formula unit: -0.88


# 11
Compound: TaFeSi2
Source: the Alexandria database
Functional: PBE
Structure: relaxed

Cell: 8.1869 8.1869 8.1869 Å, 19.82 19.82 19.82°
Last column: nearest neighbours and their distance in Å.
Fractional coordinates of all 4 atoms:
Fe: 0.7500 0.7500 0.7500  6 Si 2.39
Si: 0.0107 0.0107 0.0107  3 Fe 2.39
Si: 0.4893 0.4893 0.4893  3 Fe 2.39
Ta: 0.2500 0.2500 0.2500  6 Si 2.79, 6 Ta 2.82

M_tot, μB per atom: 0.25
Total energy, eV/atom: -7.92
Density of states at the Fermi level, states/eV/f.u.: 2.41
Raw formation energy, eV per formula unit: -0.53


# 12
Compound: Ta2FeSi
Source: the Alexandria database
Functional: PBE
Structure: relaxed

Cell: 2.8621 2.8621 7.3565 Å, 90.00 90.00 97.16°
Last column: nearest neighbours and their distance in Å.
Fractional coordinates of all 4 atoms:
Fe: 0.5000 0.5000 0.2500  8 Ta 2.55-2.74
Si: 0.5000 0.5000 0.7500  8 Ta 2.74-2.92, 4 Si 2.86
Ta: 0.0000 0.0000 0.0187  4 Fe 2.55-2.74, 2 Si 2.74
Ta: 0.0000 0.0000 0.4813  4 Fe 2.55-2.74, 2 Si 2.74

M_tot, μB per atom: 0.00
Total energy, eV/atom: -9.51
Density of states at the Fermi level, states/eV/f.u.: 3.20
Raw formation energy, eV per formula unit: -0.45


> density of states at the Fermi level of number 4 (Ta2FeSi)?

2.48 states/eV/f.u.